Below is an optimized crystal structure of Ac3La6Mg, with properties calculated at the PBE level.

Summary:
- Calculated density: 6.75 g/cm3
- Calculated formation energy: 0.09 eV per formula unit

abc: 5.4913 11.4120 12.1227
angles: 94.40 90.00 90.00
With the nearest neighbours (Å) after each atom.
Fractional coordinates of all 20 atoms:
Ac 0.2500 0.5551 0.4062  8 La 3.76-3.96, 4 Ac 3.84-3.86
Ac 0.7500 0.4449 0.5938  8 La 3.76-3.96, 4 Ac 3.84-3.86
Ac 0.2500 0.3410 0.7881  8 La 3.71-3.88, 4 Ac 3.86-3.87
Ac 0.7500 0.6590 0.2119  8 La 3.71-3.88, 4 Ac 3.86-3.87
Ac 0.2500 0.7572 0.0140  10 La 3.71-3.81, 2 Ac 3.87
Ac 0.7500 0.2428 0.9860  10 La 3.71-3.81, 2 Ac 3.87
La 0.2500 0.4480 0.0992  5 La 3.54-3.89, 7 Ac 3.75-3.87
La 0.7500 0.5520 0.9008  5 La 3.54-3.89, 7 Ac 3.75-3.87
La 0.2500 0.1538 0.1735  8 La 3.54-3.83, 2 Ac 3.75
La 0.7500 0.8462 0.8265  8 La 3.54-3.83, 2 Ac 3.75
La 0.2500 0.6637 0.7069  1 Mg 3.56, 6 La 3.68-3.89, 5 Ac 3.76-3.89
La 0.7500 0.3363 0.2931  1 Mg 3.56, 6 La 3.68-3.89, 5 Ac 3.76-3.89
La 0.2500 0.2253 0.4870  3 Mg 3.50-3.57, 3 Ac 3.79-3.87, 5 La 3.83-3.89
La 0.7500 0.7747 0.5130  3 Mg 3.50-3.57, 3 Ac 3.79-3.87, 5 La 3.83-3.89
La 0.2500 0.8722 0.3178  3 Mg 3.49-3.53, 5 La 3.77-3.84, 4 Ac 3.81-3.85
La 0.7500 0.1278 0.6822  3 Mg 3.49-3.53, 5 La 3.77-3.84, 4 Ac 3.81-3.85
La 0.2500 0.0378 0.8781  1 Mg 3.43, 5 La 3.54-3.82, 4 Ac 3.71-3.78
La 0.7500 0.9622 0.1219  1 Mg 3.43, 5 La 3.54-3.82, 4 Ac 3.71-3.78
Mg 0.2500 0.9466 0.6022  8 La 3.43-3.57
Mg 0.7500 0.0534 0.3978  8 La 3.43-3.57